Entry 1:
Density functional theory data (PBE-GGA) for crystalline Ag3PtAu12 at its relaxed geometry.

Cell lengths 4.115, 4.115, 16.821 Å; angles 90.00, 90.00, 90.00 degrees
Space group P4/mmm (No. 123)
Asymmetric unit:
Ag: 0.000 0.000 0.000 (multiplicity 1)
Ag: 0.000 0.000 0.253 (multiplicity 2)
Pt: 0.000 0.000 0.500 (multiplicity 1)
Au: 0.000 0.500 0.126 (multiplicity 4)
Au: 0.000 0.500 0.378 (multiplicity 4)
Au: 0.500 0.500 0.000 (multiplicity 1)
Au: 0.500 0.500 0.252 (multiplicity 2)
Au: 0.500 0.500 0.500 (multiplicity 1)

Results
The value obtained for the calculated volume is 17.8 Å³ per atom. Its mass density is 16.8 g/cm³. The value obtained for the total energy is -54.162 eV per cell. Its energy of formation is -0.01 eV/atom.


Entry 2:
Density functional theory data (PBE-GGA) for crystalline Er8Tl2Os at its relaxed geometry.

Cell lengths 18.055, 5.238, 6.896 Å; angles 90.00, 112.02, 90.00 degrees
Space group C2/m (No. 12)
Asymmetric unit:
Er: 0.016 0.000 0.290 (multiplicity 4)
Er: 0.091 0.500 0.924 (multiplicity 4)
Er: 0.146 0.500 0.454 (multiplicity 4)
Er: 0.200 0.000 0.793 (multiplicity 4)
Tl: 0.177 0.000 0.212 (multiplicity 4)
Os: 0.000 0.500 0.500 (multiplicity 2)

Results
The value obtained for the calculated volume is 27.5 Å³ per atom. Its mass density is 10.6 g/cm³. The value obtained for the total energy is -109.406 eV per cell. Its energy of formation is -0.20 eV/atom.


Entry 3:
Density functional theory data (PBE-GGA) for crystalline TmScSi2 at its relaxed geometry.

Cell lengths 3.6260, 3.6260, 22.5301 Å; angles 90.00, 90.00, 120.00 degrees
Space group R-3m (No. 166, hexagonal axes)
Asymmetric unit:
Tm: 0.0000 0.0000 0.0000 (multiplicity 3)
Sc: 0.0000 0.0000 0.5000 (multiplicity 3)
Si: 0.0000 0.0000 0.2465 (multiplicity 6)

Results
The energy above the most stable polymorph in this dataset comes out at 0.385 eV/atom. The value obtained for the calculated volume is 21.4 Å³ per atom. Its mass density is 5.2 g/cm³. The value obtained for the total energy is -70.040 eV per cell. As for the raw formation energy: -0.424 eV/atom.


Entry 4:
Density functional theory data (PBE-GGA) for crystalline Ac4CeS7 at its relaxed geometry.

Cell lengths 14.089, 4.167, 12.282 Å; angles 90.00, 105.64, 90.00 degrees
Space group Cm (No. 8)
Asymmetric unit:
Ac: 0.000 0.000 0.000 (multiplicity 2)
Ac: 0.088 0.500 0.379 (multiplicity 2)
Ac: 0.192 0.000 0.768 (multiplicity 2)
Ac: 0.389 0.500 0.570 (multiplicity 2)
Ce: 0.276 0.500 0.151 (multiplicity 2)
S: 0.049 0.500 0.622 (multiplicity 2)
S: 0.130 0.500 0.931 (multiplicity 2)
S: 0.159 0.000 0.221 (multiplicity 2)
S: 0.229 0.000 0.523 (multiplicity 2)
S: 0.345 0.500 0.788 (multiplicity 2)
S: 0.381 0.000 0.073 (multiplicity 2)
S: 0.432 0.500 0.350 (multiplicity 2)

Results
The value obtained for the calculated volume is 28.9 Å³ per atom. Its mass density is 6.1 g/cm³. The value obtained for the total energy is -152.879 eV per cell. As for the raw formation energy: -2.098 eV/atom.


Q: total energy of number 2 (Er8Tl2Os)?
A: -109.406 eV per cell


What did the second record say?
Density functional theory data (PBE-GGA) for crystalline Er8Tl2Os at its relaxed geometry.

Cell lengths 18.055, 5.238, 6.896 Å; angles 90.00, 112.02, 90.00 degrees
Space group C2/m (No. 12)
Asymmetric unit:
Er: 0.016 0.000 0.290 (multiplicity 4)
Er: 0.091 0.500 0.924 (multiplicity 4)
Er: 0.146 0.500 0.454 (multiplicity 4)
Er: 0.200 0.000 0.793 (multiplicity 4)
Tl: 0.177 0.000 0.212 (multiplicity 4)
Os: 0.000 0.500 0.500 (multiplicity 2)

Results
The value obtained for the calculated volume is 27.5 Å³ per atom. Its mass density is 10.6 g/cm³. The value obtained for the total energy is -109.406 eV per cell. Its energy of formation is -0.20 eV/atom.


Q: Which of these has the lowest total energy?
A: Ac4CeS7


Q: Which of these has the lowest mass density?
A: TmScSi2